No. 1
The following is a SCAN calculation of ZnAgPt2 at its PBEsol-relaxed geometry, from Alexandria via LeMat-Bulk.

Results
As for the density of states at the Fermi level: 1.22 states/eV/f.u. The formation energy comes out at -260 meV per atom. Its total energy is -186.31 eV/f.u. The spin magnetization is 0.00 μB/f.u.

Cell lengths 2.8088, 3.6867, 5.7406 Å; angles 90.00, 90.00, 90.00 degrees
Space group Pmmm (No. 47)
Symmetry-distinct sites (fractional):
Zn 0.0000 0.0000 0.0000 (multiplicity 1)
Ag 0.0000 0.0000 0.5000 (multiplicity 1)
Pt 0.5000 0.5000 0.2360 (multiplicity 2)

***

No. 2
The following is a SCAN calculation of HfInSi2S at its PBEsol-relaxed geometry, from Alexandria via LeMat-Bulk.

Results
As for the density of states at the Fermi level: 3.89 states/eV/f.u. The uncorrected formation energy is 1.4626 eV/atom. Its total energy is -118.41 eV/f.u. The spin magnetization is 0.00 μB/f.u.

Cell lengths 4.7551, 4.7551, 5.5218 Å; angles 90.00, 90.00, 90.00 degrees
Space group P4/mmm (No. 123)
Symmetry-distinct sites (fractional):
Hf 0.0000 0.0000 0.0000 (multiplicity 1)
In 0.0000 0.0000 0.5000 (multiplicity 1)
Si 0.0000 0.5000 0.5000 (multiplicity 2)
S 0.5000 0.5000 0.0000 (multiplicity 1)

***

No. 3
The following is a SCAN calculation of Rb3TlBr6 at its PBEsol-relaxed geometry, from Alexandria via LeMat-Bulk.

Results
As for the density of states at the Fermi level: 0.00 states/eV/f.u. The uncorrected formation energy is -1.3280 eV/atom. Its total energy is -264.61 eV/f.u. The spin magnetization is 0.00 μB/f.u.

Cell lengths 11.7473, 11.7473, 11.7473 Å; angles 90.00, 90.00, 90.00 degrees
Space group Fm-3m (No. 225)
Symmetry-distinct sites (fractional):
Rb 0.0000 0.0000 0.0000 (multiplicity 4)
Rb 0.2500 0.2500 0.2500 (multiplicity 8)
Tl 0.0000 0.0000 0.5000 (multiplicity 4)
Br 0.0000 0.0000 0.2680 (multiplicity 24)

***

No. 4
The following is a SCAN calculation of Ti3MnPd at its PBEsol-relaxed geometry, from Alexandria via LeMat-Bulk.

Results
As for the density of states at the Fermi level: 6.46 states/eV/f.u. The formation energy comes out at 272 meV per atom. Its total energy is -97.76 eV/f.u. The spin magnetization is 0.00 μB/f.u.

Cell lengths 4.3789, 4.3789, 4.3789 Å; angles 90.00, 90.00, 90.00 degrees
Space group Pm-3m (No. 221)
Symmetry-distinct sites (fractional):
Ti 0.0000 0.0000 0.5000 (multiplicity 3)
Mn 0.0000 0.0000 0.0000 (multiplicity 1)
Pd 0.5000 0.5000 0.5000 (multiplicity 1)